PaAlSi2O8 after structural relaxation, computed with PBE-GGA.

Output
* electronic total energy: -8.17 eV per atom
* space group: No. 119
* formation energy (no corrections): -275.8 kJ per mole of atoms

a = 5.601 Å, b = 5.601 Å, c = 5.601 Å
α = 107.69°, β = 107.69°, γ = 113.10°
Element x y z (fractional)
Pa1 0.000 0.000 0.000
Al1 0.250 0.750 0.500
Si1 0.750 0.250 0.500
Si2 0.500 0.500 0.000
O1 0.391 0.071 0.319
O2 0.329 0.524 0.195
O3 0.329 0.133 0.805
O4 0.752 0.071 0.681
O5 0.867 0.671 0.195
O6 0.929 0.248 0.319
O7 0.929 0.609 0.681
O8 0.476 0.671 0.805